(1)
An optimized crystal structure of MgTiO3, computed with PBEsol.

Formation energy without anion corrections in meV per atom: -2917
Density of states at the Fermi level in states/eV per atom: 0.000
Calculated density in g/cm3: 4.1

abc: 5.279 7.392 5.041
angles: 90.00 90.00 90.00
Space group Pnma (No. 62)
Symmetry-distinct sites (fractional):
Mg (0.060, 0.250, 0.013) x4
Ti (0.000, 0.000, 0.500) x4
O (0.055, 0.750, 0.375) x4
O (0.189, 0.566, 0.816) x8


(2)
An optimized crystal structure of NaDySe2, computed with PBEsol.

Formation energy without anion corrections in meV per atom: -1698
Density of states at the Fermi level in states/eV per atom: 0.000
Calculated density in g/cm3: 5.7

abc: 4.0814 4.0814 20.6930
angles: 90.00 90.00 120.00
Space group R-3m (No. 166, hexagonal axes)
Symmetry-distinct sites (fractional):
Na (0.0000, 0.0000, 0.0000) x3
Dy (0.0000, 0.0000, 0.5000) x3
Se (0.0000, 0.0000, 0.2435) x6


(3)
An optimized crystal structure of BaSi3Os, computed with PBEsol.

Formation energy without anion corrections in meV per atom: 119
Density of states at the Fermi level in states/eV per atom: 1.346
Calculated density in g/cm3: 6.4

abc: 4.742 4.742 4.742
angles: 90.00 90.00 90.00
Space group Pm-3m (No. 221)
Symmetry-distinct sites (fractional):
Ba (0.000, 0.000, 0.000) x1
Si (0.000, 0.500, 0.500) x3
Os (0.500, 0.500, 0.500) x1


(4)
An optimized crystal structure of YNiAg4, computed with PBEsol.

Density of states at the Fermi level in states/eV per atom: 0.667
ΔH_f (0 K) in eV per atom: 0.013
Calculated density in g/cm3: 8.9

abc: 7.556 7.556 7.556
angles: 90.00 90.00 90.00
Space group F-43m (No. 216)
Symmetry-distinct sites (fractional):
Y (0.000, 0.000, 0.000) x4
Ni (0.250, 0.250, 0.750) x4
Ag (0.124, 0.124, 0.376) x16


(5)
An optimized crystal structure of PNF2, computed with PBEsol.

Formation energy without anion corrections in meV per atom: -1819
Density of states at the Fermi level in states/eV per atom: 0.000
Energy relative to the lowest polymorph listed for this composition in eV/atom: 0.003
Calculated density in g/cm3: 2.3

abc: 5.053 13.888 7.287
angles: 90.00 108.16 90.00
Space group P2_1/c (No. 14)
Symmetry-distinct sites (fractional):
P (0.080, 0.115, 0.196) x4
P (0.330, 0.574, 0.694) x4
N (0.167, 0.616, 0.494) x4
N (0.274, 0.026, 0.267) x4
F (0.034, 0.644, 0.138) x4
F (0.267, 0.204, 0.197) x4
F (0.329, 0.649, 0.851) x4
F (0.354, 0.078, 0.789) x4


(6)
An optimized crystal structure of Na2CaPb2, computed with PBEsol.

Density of states at the Fermi level in states/eV per atom: 0.573
ΔH_f (0 K) in eV per atom: -0.222
Calculated density in g/cm3: 5.5

abc: 4.500 4.500 14.801
angles: 90.00 90.00 90.00
Space group I4/mmm (No. 139)
Symmetry-distinct sites (fractional):
Na (0.000, 0.500, 0.250) x4
Ca (0.000, 0.000, 0.000) x2
Pb (0.000, 0.000, 0.402) x4


(7)
An optimized crystal structure of SrLiTc, computed with PBEsol.

Density of states at the Fermi level in states/eV per atom: 1.380
ΔH_f (0 K) in eV per atom: 1.301
Calculated density in g/cm3: 4.4

abc: 6.601 6.601 6.601
angles: 90.00 90.00 90.00
Space group F-43m (No. 216)
Symmetry-distinct sites (fractional):
Sr (0.000, 0.000, 0.000) x4
Li (0.250, 0.250, 0.250) x4
Tc (0.000, 0.000, 0.500) x4


(8)
An optimized crystal structure of BeAgBRu2, computed with PBEsol.

Density of states at the Fermi level in states/eV per atom: 0.947
ΔH_f (0 K) in eV per atom: 1.380
Calculated density in g/cm3: 8.3

abc: 4.050 4.050 4.017
angles: 90.00 90.00 90.00
Space group P4/mmm (No. 123)
Symmetry-distinct sites (fractional):
Be (0.000, 0.000, 0.000) x1
Ag (0.000, 0.000, 0.500) x1
B (0.500, 0.500, 0.500) x1
Ru (0.000, 0.500, 0.000) x2


(9)
An optimized crystal structure of TaWN2O, computed with PBEsol.

Formation energy without anion corrections in meV per atom: -35
Density of states at the Fermi level in states/eV per atom: 0.640
Calculated density in g/cm3: 11.7

abc: 3.929 3.929 3.756
angles: 90.00 90.00 90.00
Space group P4/mmm (No. 123)
Symmetry-distinct sites (fractional):
Ta (0.000, 0.000, 0.000) x1
W (0.500, 0.500, 0.500) x1
N (0.000, 0.500, 0.500) x2
O (0.500, 0.500, 0.000) x1


(10)
An optimized crystal structure of In2CuTe, computed with PBEsol.

Formation energy without anion corrections in meV per atom: 225
Density of states at the Fermi level in states/eV per atom: 0.394
Calculated density in g/cm3: 7.5

abc: 4.886 4.886 3.910
angles: 90.00 90.00 90.00
Space group P4/mmm (No. 123)
Symmetry-distinct sites (fractional):
In (0.000, 0.500, 0.000) x2
Cu (0.000, 0.000, 0.500) x1
Te (0.500, 0.500, 0.500) x1


(11)
An optimized crystal structure of ScP2Ir, computed with PBEsol.

Density of states at the Fermi level in states/eV per atom: 1.167
Energy relative to the lowest polymorph listed for this composition in eV/atom: 0.169
ΔH_f (0 K) in eV per atom: -0.505
Calculated density in g/cm3: 8.6

abc: 6.142 6.142 6.142
angles: 90.00 90.00 90.00
Space group Fm-3m (No. 225)
Symmetry-distinct sites (fractional):
Sc (0.000, 0.000, 0.000) x4
P (0.250, 0.250, 0.250) x8
Ir (0.000, 0.000, 0.500) x4


(12)
An optimized crystal structure of TcRu2Br, computed with PBEsol.

Formation energy without anion corrections in meV per atom: 499
Density of states at the Fermi level in states/eV per atom: 0.969
Energy relative to the lowest polymorph listed for this composition in eV/atom: 0.000
Calculated density in g/cm3: 10.8

abc: 2.8199 2.8199 25.5207
angles: 90.00 90.00 120.00
Space group R-3m (No. 166, hexagonal axes)
Symmetry-distinct sites (fractional):
Tc (0.0000, 0.0000, 0.0000) x3
Ru (0.0000, 0.0000, 0.2523) x6
Br (0.0000, 0.0000, 0.5000) x3